Material: LiCo2P
Method: DFT, PBE
State: optimized geometry

Geometry as extended XYZ:
```
4
Lattice="2.628 0.000 0.000 0.000 2.628 0.000 0.000 0.000 7.080" Properties=species:S:1:pos:R:3 pbc="T T T"
Li 0.000 0.000 0.000
Co 0.000 0.000 3.313
Co 1.314 1.314 5.055
P 1.314 1.314 2.012
```

Properties
* energy: -21.80 eV/cell
* volume: 48.89 Å³ per cell
* SG: P4mm (99)
* ΔE_f: -66 meV/atom